First-principles (PBE-GGA) data for an optimized crystal structure of NaOsBr6, as listed in Alexandria.

- formation energy (no corrections) (eV/atom) = -0.45
- density (g/cm³) = 4.42
- energy above the most stable polymorph in this dataset (meV per atom) = 0

Cell and atoms, written as POSCAR:
```
NaOsBr6
1.0
5.6454 -4.2387 0.0000
5.6454 4.2387 0.0000
-0.2837 0.0000 10.8675
Na Os Br
2 2 12
Cartesian
5.4326 4.0933 8.1506
5.5745 -4.0933 2.7169
2.8227 2.1194 0.0000
2.6809 -2.1194 5.4337
3.8264 1.7012 2.2237
1.8598 0.2440 5.3642
1.7180 -0.2440 10.7980
4.6624 1.4446 9.7738
6.2028 1.4446 6.5274
7.3225 1.7012 3.2100
3.6846 -1.7012 7.6575
4.8042 -1.4446 4.3401
6.3447 -1.4446 1.0936
9.2891 0.2440 0.0695
9.1473 -0.2440 5.5032
7.1807 -1.7012 8.6437
```